No. 1
# MnTl2Cl

A relaxed structure of MnTl2Cl (PBE, Alexandria via LeMat-Bulk).

The magnetic moment is 4.6 μB/f.u. The electronic total energy comes out at -3.8306 eV per atom. Its energy relative to the elements, uncorrected is 0.1066 eV/atom.

The structure belongs to space group R-3m (No. 166, hexagonal axes); the cell edges are 3.6139, 3.6139 and 27.6257 Å and the angles 90.00°, 90.00° and 120.00°. Symmetry generates all atoms from Mn at (0.0000, 0.0000, 0.0000), Tl at (0.0000, 0.0000, 0.2496) and Cl at (0.0000, 0.0000, 0.5000).

No. 2
# Ac3U2S2N5

A relaxed structure of Ac3U2S2N5 (PBE, Alexandria via LeMat-Bulk).

The magnetic moment is 2.0 μB/f.u. The electronic total energy comes out at -8.6626 eV per atom. Its energy relative to the elements, uncorrected is -1.5973 eV/atom.

The structure belongs to space group I4/mmm (No. 139); the cell edges are 4.376, 4.376 and 24.538 Å and the angles 90.00°, 90.00° and 90.00°. Symmetry generates all atoms from Ac at (0.000, 0.000, 0.000), Ac at (0.000, 0.000, 0.170), U at (0.000, 0.000, 0.411), S at (0.000, 0.000, 0.296), N at (0.000, 0.000, 0.500) and N at (0.000, 0.500, 0.095).

No. 3
# SrH

A relaxed structure of SrH (PBE, Alexandria via LeMat-Bulk).

The magnetic moment is 0.3 μB/f.u. The electronic total energy comes out at -2.7241 eV per atom.

The structure belongs to space group Pm-3n (No. 223); the cell edges are 6.932, 6.932 and 6.932 Å and the angles 90.00°, 90.00° and 90.00°. Symmetry generates all atoms from Sr at (0.000, 0.250, 0.500) and H at (0.000, 0.500, 0.250).

No. 4
# SrNbCoN2

A relaxed structure of SrNbCoN2 (PBE, Alexandria via LeMat-Bulk).

The magnetic moment is 3.2 μB/f.u. The electronic total energy comes out at -6.0180 eV per atom. Its energy relative to the elements, uncorrected is 1.0837 eV/atom.

The structure belongs to space group P4/mmm (No. 123); the cell edges are 4.081, 4.081 and 6.968 Å and the angles 90.00°, 90.00° and 90.00°. Symmetry generates all atoms from Sr at (0.000, 0.000, 0.000), Nb at (0.000, 0.000, 0.500), Co at (0.500, 0.500, 0.000) and N at (0.000, 0.500, 0.500).